(1)
! PrSm7Dy12 | Alexandria via LeMat-Bulk | PBE-GGA | relaxed; values from VASP
! DFT total energy (eV per formula unit): -80.13
! Formation energy (eV/atom): 0.65
! Volume (A^3/atom): 36.15
! Energy relative to the lowest polymorph listed for this composition (meV per atom): 359.7
! Calculated density (g/cm³): 7.220
&SYSTEM
  ibrav = 0, nat = 20, ntyp = 3
/
ATOMIC_SPECIES
Pr 140.91 Pr.upf
Sm 150.36 Sm.upf
Dy 162.50 Dy.upf
CELL_PARAMETERS angstrom
-2.472 -2.501 9.140
8.315 -4.536 -2.490
1.296 9.694 -0.494
ATOMIC_POSITIONS angstrom
Pr 0.000 0.000 0.000
Sm 2.921 -3.518 3.325
Sm 4.805 2.579 -1.492
Sm -0.588 3.597 4.323
Sm 3.569 1.329 3.078
Sm 0.648 4.847 -0.247
Sm -1.236 -1.251 4.570
Sm 4.157 -2.268 -1.245
Dy 5.962 2.622 2.307
Dy 4.075 -3.456 7.149
Dy 1.176 0.036 3.849
Dy 3.063 6.113 -0.993
Dy -1.520 0.568 6.716
Dy 3.248 3.127 5.235
Dy 8.658 2.090 -0.560
Dy 3.890 -0.470 0.920
Dy 5.018 -0.451 4.728
Dy 2.120 3.109 1.428
Dy 1.536 6.678 5.717
Dy 5.602 -4.021 0.438

=====

(2)
! Sr2TaTc | Alexandria via LeMat-Bulk | PBE-GGA | relaxed; values from VASP
! DFT total energy (eV per formula unit): -21.41
! Formation energy (eV/atom): 1.04
! Volume (A^3/atom): 23.25
! Energy relative to the lowest polymorph listed for this composition (meV per atom): 712.8
! Calculated density (g/cm³): 8.111
&SYSTEM
  ibrav = 0, nat = 4, ntyp = 3
/
ATOMIC_SPECIES
Sr 87.62 Sr.upf
Ta 180.95 Ta.upf
Tc 98.00 Tc.upf
CELL_PARAMETERS angstrom
4.115 0.000 0.000
0.000 4.117 0.000
0.000 0.000 5.488
ATOMIC_POSITIONS angstrom
Sr 0.000 0.000 0.000
Sr 2.058 2.059 0.000
Ta 2.058 0.000 2.744
Tc 0.000 2.059 2.744

=====

(3)
! ScIr2Au | Alexandria via LeMat-Bulk | PBE-GGA | relaxed; values from VASP
! DFT total energy (eV per formula unit): -27.28
! Formation energy (eV/atom): 0.01
! Volume (A^3/atom): 16.55
! Energy relative to the lowest polymorph listed for this composition (meV per atom): 513.8
! Calculated density (g/cm³): 15.711
&SYSTEM
  ibrav = 0, nat = 4, ntyp = 3
/
ATOMIC_SPECIES
Au 196.97 Au.upf
Ir 192.22 Ir.upf
Sc 44.96 Sc.upf
CELL_PARAMETERS angstrom
9.330 -0.013 -0.008
8.887 2.838 -0.008
8.887 1.378 2.481
ATOMIC_POSITIONS angstrom
Au 20.314 3.150 1.848
Ir 26.998 4.187 2.456
Ir 6.816 1.057 0.620
Sc 13.633 2.114 1.240

=====

(4)
! Pm5GeRu | Alexandria via LeMat-Bulk | PBE-GGA | relaxed; values from VASP
! DFT total energy (eV per formula unit): -38.96
! Formation energy (eV/atom): -0.19
! Volume (A^3/atom): 28.66
! Calculated density (g/cm³): 7.437
&SYSTEM
  ibrav = 0, nat = 14, ntyp = 3
/
ATOMIC_SPECIES
Pm 145.00 Pm.upf
Ge 72.64 Ge.upf
Ru 101.07 Ru.upf
CELL_PARAMETERS angstrom
6.160 -0.207 -0.183
1.758 5.908 -0.183
2.706 1.948 10.793
ATOMIC_POSITIONS angstrom
Pm 7.163 3.342 1.234
Pm 3.848 4.314 5.691
Pm 6.795 6.707 6.630
Pm 2.634 6.117 2.515
Pm 6.664 6.341 10.132
Pm 3.959 1.307 0.295
Pm 7.990 1.531 7.912
Pm 3.828 0.941 3.796
Pm 6.775 3.334 4.735
Pm 3.460 4.306 9.193
Ge 4.381 3.691 2.515
Ge 6.242 3.957 7.912
Ru 0.000 0.000 0.000
Ru 1.353 0.974 5.397

=====

(5)
! MgSc2Br | Alexandria via LeMat-Bulk | PBE-GGA | relaxed; values from VASP
! DFT total energy (eV per formula unit): -16.44
! Volume (A^3/atom): 24.31
! Energy relative to the lowest polymorph listed for this composition (meV per atom): 278.7
! Calculated density (g/cm³): 3.315
&SYSTEM
  ibrav = 0, nat = 4, ntyp = 3
/
ATOMIC_SPECIES
Br 79.90 Br.upf
Mg 24.30 Mg.upf
Sc 44.96 Sc.upf
CELL_PARAMETERS angstrom
3.394 0.000 0.000
0.000 5.498 0.000
0.000 0.000 5.211
ATOMIC_POSITIONS angstrom
Br 1.697 0.000 2.605
Mg 0.000 2.749 2.605
Sc 0.000 0.000 0.000
Sc 1.697 2.749 0.000

=====

(6)
! Sr2Zn7Au | Alexandria via LeMat-Bulk | PBE-GGA | relaxed; values from VASP
! DFT total energy (eV per formula unit): -18.41
! Formation energy (eV/atom): -0.28
! Volume (A^3/atom): 20.94
! Calculated density (g/cm³): 6.584
&SYSTEM
  ibrav = 0, nat = 10, ntyp = 3
/
ATOMIC_SPECIES
Sr 87.62 Sr.upf
Zn 65.41 Zn.upf
Au 196.97 Au.upf
CELL_PARAMETERS angstrom
-0.378 -4.203 -0.606
4.068 -0.533 1.160
-3.295 -1.284 10.963
ATOMIC_POSITIONS angstrom
Sr -2.660 -3.064 7.918
Sr 1.210 -0.588 3.322
Zn -0.805 -1.373 10.027
Zn -1.387 -2.568 3.683
Zn -0.645 -2.279 1.214
Zn -0.063 -1.084 7.558
Zn -1.647 -0.642 5.482
Zn 0.000 0.000 0.000
Zn 0.197 -3.010 5.759
Au 1.845 -2.368 0.277

=====

(7)
! Sb2PtIN | Alexandria via LeMat-Bulk | PBE-GGA | relaxed; values from VASP
! DFT total energy (eV per formula unit): -16.46
! Volume (A^3/atom): 29.60
! Energy relative to the lowest polymorph listed for this composition (meV per atom): 656.7
! Calculated density (g/cm³): 6.501
&SYSTEM
  ibrav = 0, nat = 5, ntyp = 4
/
ATOMIC_SPECIES
I 126.90 I.upf
Sb 121.76 Sb.upf
Pt 195.08 Pt.upf
N 14.01 N.upf
CELL_PARAMETERS angstrom
-2.043 2.402 4.143
3.284 -2.576 3.113
3.655 4.021 -0.529
ATOMIC_POSITIONS angstrom
I 1.827 2.010 -0.264
Sb 1.642 -1.288 1.556
Sb -1.022 1.201 2.072
Pt 0.000 0.000 0.000
N 2.448 1.923 3.364

=====

(8)
! HoZnSnRu | Alexandria via LeMat-Bulk | PBE-GGA | relaxed; values from VASP
! DFT total energy (eV per formula unit): -20.17
! Formation energy (eV/atom): -0.26
! Volume (A^3/atom): 18.77
! Calculated density (g/cm³): 9.954
&SYSTEM
  ibrav = 0, nat = 4, ntyp = 4
/
ATOMIC_SPECIES
Ru 101.07 Ru.upf
Zn 65.41 Zn.upf
Ho 164.93 Ho.upf
Sn 118.71 Sn.upf
CELL_PARAMETERS angstrom
-4.497 -0.297 1.455
-1.958 -4.239 0.791
-0.971 -1.371 4.428
ATOMIC_POSITIONS angstrom
Ru -1.856 -1.477 1.668
Zn 0.000 0.000 0.000
Ho -5.569 -4.430 5.005
Sn -3.713 -2.953 3.336

=====

(9)
! BaErS2F | Alexandria via LeMat-Bulk | PBE-GGA | relaxed; values from VASP
! DFT total energy (eV per formula unit): -29.30
! Volume (A^3/atom): 24.00
! Calculated density (g/cm³): 5.366
&SYSTEM
  ibrav = 0, nat = 10, ntyp = 4
/
ATOMIC_SPECIES
Ba 137.33 Ba.upf
Er 167.26 Er.upf
S 32.06 S.upf
F 19.00 F.upf
CELL_PARAMETERS angstrom
4.071 0.000 0.000
0.000 4.071 0.000
0.000 0.000 14.482
ATOMIC_POSITIONS angstrom
Ba 2.035 0.000 8.918
Ba 0.000 2.035 5.564
Er 2.035 0.000 1.613
Er 0.000 2.035 12.869
S 0.000 2.035 10.409
S 0.000 2.035 1.260
S 2.035 0.000 13.222
S 2.035 0.000 4.073
F 0.000 0.000 7.241
F 2.035 2.035 7.241

=====

(10)
! UTiSnO6 | Alexandria via LeMat-Bulk | PBE-GGA | relaxed; values from VASP
! DFT total energy (eV per formula unit): -76.50
! Volume (A^3/atom): 14.87
! Calculated density (g/cm³): 6.211
&SYSTEM
  ibrav = 0, nat = 18, ntyp = 4
/
ATOMIC_SPECIES
U 238.03 U.upf
Ti 47.87 Ti.upf
Sn 118.71 Sn.upf
O 16.00 O.upf
CELL_PARAMETERS angstrom
-2.180 -5.027 -0.292
2.700 1.561 4.514
-8.756 3.564 4.006
ATOMIC_POSITIONS angstrom
U -2.742 -1.940 2.311
U -5.493 2.038 5.916
Ti -1.115 0.256 3.913
Ti -7.120 -0.158 4.314
Sn 0.000 0.000 0.000
Sn -4.378 1.782 2.003
O -0.911 -1.616 3.271
O -0.282 1.038 2.285
O -6.437 0.421 2.538
O -7.953 -0.940 5.943
O -2.878 0.024 3.021
O -1.418 2.186 4.287
O -8.832 -0.129 3.301
O -1.798 -0.324 5.690
O -6.817 -2.089 3.940
O 0.597 0.227 4.927
O -5.357 0.074 5.207
O -7.324 1.714 4.957

=====

(11)
! Mn2Be2Ru | Alexandria via LeMat-Bulk | PBE-GGA | relaxed; values from VASP
! DFT total energy (eV per formula unit): -35.32
! Formation energy (eV/atom): -0.05
! Volume (A^3/atom): 10.05
! Calculated density (g/cm³): 7.565
&SYSTEM
  ibrav = 0, nat = 10, ntyp = 3
/
ATOMIC_SPECIES
Ru 101.07 Ru.upf
Mn 54.94 Mn.upf
Be 9.01 Be.upf
CELL_PARAMETERS angstrom
5.986 0.000 0.000
0.000 5.986 0.000
0.000 0.000 2.805
ATOMIC_POSITIONS angstrom
Ru 0.000 0.000 0.000
Ru 2.993 2.993 0.000
Mn 1.009 4.002 1.403
Mn 4.002 4.977 1.403
Mn 4.977 1.984 1.403
Mn 1.984 1.009 1.403
Be 2.252 5.245 0.000
Be 5.245 3.734 0.000
Be 3.734 0.741 0.000
Be 0.741 2.252 0.000